Compound: HoThZn10
Source: Alexandria via LeMat-Bulk
Functional: GGA-PBE
Structure: relaxed

Values from the calculation:
ΔE_f (eV per atom): -0.25
DOS(E_F) (states/eV per atom): 0.236
E (eV/atom): -2.311

abc: 4.2208 5.3701 9.2438
angles: 90.00 90.00 90.00
Positions (direct):
Ho: 0.0000 0.0000 0.0000
Th: 0.0000 0.5000 0.5000
Zn: 0.0000 0.0000 0.3262
Zn: 0.0000 0.0000 0.6738
Zn: 0.0000 0.5000 0.1598
Zn: 0.0000 0.5000 0.8402
Zn: 0.5000 0.0000 0.5000
Zn: 0.5000 0.2516 0.2494
Zn: 0.5000 0.2516 0.7506
Zn: 0.5000 0.5000 0.0000
Zn: 0.5000 0.7484 0.2494
Zn: 0.5000 0.7484 0.7506


Compound: HoTh2Zn3
Source: Alexandria via LeMat-Bulk
Functional: GGA-PBE
Structure: relaxed

Values from the calculation:
ΔE_f (eV per atom): -0.22
DOS(E_F) (states/eV per atom): 0.833
E (eV/atom): -4.094

abc: 5.1319 5.1319 6.3135
angles: 90.00 90.00 120.00
Positions (direct):
Ho: 0.0000 0.0000 0.0000
Th: 0.3333 0.6667 0.6705
Th: 0.6667 0.3333 0.3295
Zn: 0.0000 0.0000 0.5000
Zn: 0.3333 0.6667 0.1631
Zn: 0.6667 0.3333 0.8369


Compound: HoThZr
Source: Alexandria via LeMat-Bulk
Functional: GGA-PBE
Structure: relaxed

Values from the calculation:
ΔE_f (eV per atom): 0.19
DOS(E_F) (states/eV per atom): 1.515
Relative energy among the computed polymorphs (meV/atom): 97
E (eV/atom): -6.660

abc: 3.3811 4.9620 10.4453
angles: 90.00 99.29 90.00
Positions (direct):
Ho: 0.1328 0.2500 0.2672
Ho: 0.8672 0.7500 0.7328
Th: 0.4539 0.2500 0.9056
Th: 0.5461 0.7500 0.0944
Zr: 0.2865 0.2500 0.5730
Zr: 0.7135 0.7500 0.4270


Short version: total moment = 0.00; 0.00; 0.00 μB/cell, in the order given.